# 1
# Li2LaHg | the Alexandria database | meta-GGA SCAN | single point on PBEsol structure
data_Li2LaHg
_chemical_formula_sum 'Li2 La1 Hg1'
_space_group_name_H-M_alt 'P 4 m m'
_space_group_IT_number 99
_space_group_name_Hall 'P 4 -2'
_cell_length_a 3.4573
_cell_length_b 3.4573
_cell_length_c 7.7248
_cell_angle_alpha 90.00
_cell_angle_beta 90.00
_cell_angle_gamma 90.00
loop_
_atom_site_label
_atom_site_type_symbol
_atom_site_fract_x
_atom_site_fract_y
_atom_site_fract_z
_atom_site_occupancy
Li1 Li 0.0000 0.0000 0.0000 1
Li2 Li 0.5000 0.5000 0.2019 1
La1 La 0.5000 0.5000 0.6618 1
Hg1 Hg 0.0000 0.0000 0.3778 1
# Energy relative to the elements   -287.8 meV per atom
# Calculated density   6.35 Mg/m³



# 2
# Li2LaHg | the Alexandria database | meta-GGA SCAN | single point on PBEsol structure
data_Li2LaHg
_chemical_formula_sum 'Li2 La1 Hg1'
_space_group_name_H-M_alt 'P 4/m m m'
_space_group_IT_number 123
_space_group_name_Hall '-P 4 2'
_cell_length_a 5.0245
_cell_length_b 5.0245
_cell_length_c 3.4744
_cell_angle_alpha 90.00
_cell_angle_beta 90.00
_cell_angle_gamma 90.00
loop_
_atom_site_label
_atom_site_type_symbol
_atom_site_fract_x
_atom_site_fract_y
_atom_site_fract_z
_atom_site_occupancy
Li1 Li 0.0000 0.5000 0.0000 1
La1 La 0.0000 0.0000 0.5000 1
Hg1 Hg 0.5000 0.5000 0.5000 1
# Energy relative to the elements   -85.2 meV per atom
# Calculated density   6.69 Mg/m³



# 3
# Li2LaHg | the Alexandria database | meta-GGA SCAN | single point on PBEsol structure
data_Li2LaHg
_chemical_formula_sum 'Li2 La1 Hg1'
_space_group_name_H-M_alt 'P 1 2/m 1'
_space_group_IT_number 10
_space_group_name_Hall '-P 2y'
_cell_length_a 3.4189
_cell_length_b 5.2138
_cell_length_c 5.4643
_cell_angle_alpha 90.00
_cell_angle_beta 93.30
_cell_angle_gamma 90.00
loop_
_atom_site_label
_atom_site_type_symbol
_atom_site_fract_x
_atom_site_fract_y
_atom_site_fract_z
_atom_site_occupancy
Li1 Li 0.1407 0.0000 0.2803 1
La1 La 0.5000 0.5000 0.0000 1
Hg1 Hg 0.0000 0.5000 0.5000 1
# Energy relative to the elements   -254.9 meV per atom
# Calculated density   6.03 Mg/m³



# 4
# Li2LaHg | the Alexandria database | meta-GGA SCAN | single point on PBEsol structure
data_Li2LaHg
_chemical_formula_sum 'Li4 La2 Hg2'
_space_group_name_H-M_alt 'C 1 m 1'
_space_group_IT_number 8
_space_group_name_Hall 'C -2y'
_cell_length_a 8.2475
_cell_length_b 4.7812
_cell_length_c 5.5258
_cell_angle_alpha 90.00
_cell_angle_beta 119.97
_cell_angle_gamma 90.00
loop_
_atom_site_label
_atom_site_type_symbol
_atom_site_fract_x
_atom_site_fract_y
_atom_site_fract_z
_atom_site_occupancy
Li1 Li 0.0000 0.0000 0.0000 1
Li2 Li 0.2184 0.5000 0.1546 1
La1 La 0.0054 0.5000 0.5166 1
Hg1 Hg 0.2880 0.0000 0.8637 1
# Energy relative to the elements   -348.2 meV per atom
# Calculated density   6.22 Mg/m³



# 5
# Li2LaHg | the Alexandria database | meta-GGA SCAN | single point on PBEsol structure
data_Li2LaHg
_chemical_formula_sum 'Li8 La4 Hg4'
_space_group_name_H-M_alt 'F -4 3 m'
_space_group_IT_number 216
_space_group_name_Hall 'F -4 2 3'
_cell_length_a 7.2050
_cell_length_b 7.2050
_cell_length_c 7.2050
_cell_angle_alpha 90.00
_cell_angle_beta 90.00
_cell_angle_gamma 90.00
loop_
_atom_site_label
_atom_site_type_symbol
_atom_site_fract_x
_atom_site_fract_y
_atom_site_fract_z
_atom_site_occupancy
Li1 Li 0.0000 0.0000 0.0000 1
Li2 Li 0.2500 0.2500 0.2500 1
La1 La 0.2500 0.2500 0.7500 1
Hg1 Hg 0.0000 0.0000 0.5000 1
# Energy relative to the elements   -331.0 meV per atom
# Calculated density   6.28 Mg/m³



# 6
# LiLa2Hg2 | the Alexandria database | meta-GGA SCAN | single point on PBEsol structure
data_LiLa2Hg2
_chemical_formula_sum 'Li2 La4 Hg4'
_space_group_name_H-M_alt 'P 4/m b m'
_space_group_IT_number 127
_space_group_name_Hall '-P 4 2ab'
_cell_length_a 7.5478
_cell_length_b 7.5478
_cell_length_c 4.7644
_cell_angle_alpha 90.00
_cell_angle_beta 90.00
_cell_angle_gamma 90.00
loop_
_atom_site_label
_atom_site_type_symbol
_atom_site_fract_x
_atom_site_fract_y
_atom_site_fract_z
_atom_site_occupancy
Li1 Li 0.0000 0.0000 0.0000 1
La1 La 0.1479 0.3521 0.5000 1
Hg1 Hg 0.1499 0.6499 0.0000 1
# Energy relative to the elements   -559.5 meV per atom
# Calculated density   8.39 Mg/m³



# 7
# Li2LaHg | the Alexandria database | meta-GGA SCAN | single point on PBEsol structure
data_Li2LaHg
_chemical_formula_sum 'Li2 La1 Hg1'
_space_group_name_H-M_alt 'P m m m'
_space_group_IT_number 47
_space_group_name_Hall '-P 2 2'
_cell_length_a 3.5599
_cell_length_b 5.2029
_cell_length_c 5.3731
_cell_angle_alpha 90.00
_cell_angle_beta 90.00
_cell_angle_gamma 90.00
loop_
_atom_site_label
_atom_site_type_symbol
_atom_site_fract_x
_atom_site_fract_y
_atom_site_fract_z
_atom_site_occupancy
Li1 Li 0.0000 0.0000 0.0000 1
Li2 Li 0.5000 0.5000 0.0000 1
La1 La 0.0000 0.5000 0.5000 1
Hg1 Hg 0.5000 0.0000 0.5000 1
# Energy relative to the elements   -205.5 meV per atom
# Calculated density   5.90 Mg/m³



# 8
# LiLaSnHg2 | the Alexandria database | meta-GGA SCAN | single point on PBEsol structure
data_LiLaSnHg2
_chemical_formula_sum 'Li1 La1 Sn1 Hg2'
_space_group_name_H-M_alt 'P 4/m m m'
_space_group_IT_number 123
_space_group_name_Hall '-P 4 2'
_cell_length_a 5.7055
_cell_length_b 5.7055
_cell_length_c 5.6290
_cell_angle_alpha 90.00
_cell_angle_beta 90.00
_cell_angle_gamma 90.00
loop_
_atom_site_label
_atom_site_type_symbol
_atom_site_fract_x
_atom_site_fract_y
_atom_site_fract_z
_atom_site_occupancy
Li1 Li 0.0000 0.0000 0.0000 1
La1 La 0.0000 0.0000 0.5000 1
Sn1 Sn 0.5000 0.5000 0.0000 1
Hg1 Hg 0.0000 0.5000 0.5000 1
# Energy relative to the elements   685.3 meV per atom
# Calculated density   6.03 Mg/m³



> Which value of energy relative to the elements does entry 2 give?

-85.2 meV per atom